Ca2MnOs | SCAN | PBEsol geometry

Calculated values
* total DFT energy (no corrections): -26.98 eV per atom
* energy relative to the elements: 0.390 eV/atom

Cell lengths 4.7846, 4.7846, 4.7846 Å; angles 60.00, 60.00, 60.00 degrees
With the nearest neighbours (Å) after each atom.
Atoms (fractional coordinates):
Ca (0.0000, 0.0000, 0.0000)  4 Os 2.93, 4 Ca 2.93
Ca (0.2500, 0.2500, 0.2500)  4 Mn 2.93, 4 Ca 2.93
Mn (0.5000, 0.5000, 0.5000)  4 Os 2.93, 4 Ca 2.93
Os (0.7500, 0.7500, 0.7500)  4 Ca 2.93, 4 Mn 2.93